KZrRu | PBE-GGA | relaxed

## Properties
**Symmetry**: Cmc2_1, No. 36
**Magnetic moment**: 0.00 Bohr magnetons per cell
**Electronic total energy**: -5.966 eV/atom

Cell lengths 3.516, 13.783, 7.180 Å; angles 90.00, 90.00, 90.00 degrees
Positions (direct):
1 K 0.000 0.225 0.000
2 K 0.000 0.775 0.500
3 K 0.500 0.275 0.500
4 K 0.500 0.725 0.000
5 Zr 0.000 0.500 0.251
6 Zr 0.000 0.500 0.751
7 Zr 0.500 0.000 0.251
8 Zr 0.500 0.000 0.751
9 Ru 0.000 0.047 0.502
10 Ru 0.000 0.953 0.002
11 Ru 0.500 0.453 0.002
12 Ru 0.500 0.547 0.502